The following is a DFT calculation (PBE-GGA) of a relaxed structure of InAs2PdSe.

Values from the calculation:
E_tot = -3.787 eV per atom
ΔE to the lowest computed polymorph = 0.0 meV/atom

Cell: 4.8785 4.8785 5.3409 Å, 90.00 90.00 90.00°
Space group P4/mmm (No. 123)
Unique sites:
In1 0.0000 0.0000 0.0000 (multiplicity 1)
As1 0.0000 0.5000 0.5000 (multiplicity 2)
Pd1 0.5000 0.5000 0.5000 (multiplicity 1)
Se1 0.5000 0.5000 0.0000 (multiplicity 1)

The following is a DFT calculation (PBE-GGA) of a relaxed structure of HfBe2AsO.

Values from the calculation:
E_tot = -6.006 eV per atom

Cell: 3.7003 3.7003 4.6073 Å, 90.00 90.00 90.00°
Space group P4/mmm (No. 123)
Unique sites:
Hf1 0.0000 0.0000 0.0000 (multiplicity 1)
Be1 0.0000 0.5000 0.5000 (multiplicity 2)
As1 0.5000 0.5000 0.0000 (multiplicity 1)
O1 0.0000 0.0000 0.5000 (multiplicity 1)

The following is a DFT calculation (PBE-GGA) of a relaxed structure of ScNb2SbAu.

Values from the calculation:
E_tot = -5.629 eV per atom

Cell: 5.0148 5.0148 5.3026 Å, 90.00 90.00 90.00°
Space group P4/mmm (No. 123)
Unique sites:
Sc1 0.0000 0.0000 0.0000 (multiplicity 1)
Nb1 0.0000 0.5000 0.5000 (multiplicity 2)
Sb1 0.5000 0.5000 0.0000 (multiplicity 1)
Au1 0.5000 0.5000 0.5000 (multiplicity 1)

The following is a DFT calculation (PBE-GGA) of a relaxed structure of NiMoCl.

Values from the calculation:
E_tot = -5.975 eV per atom
ΔE to the lowest computed polymorph = 0.0 meV/atom

Cell: 2.9208 2.9208 6.0449 Å, 90.00 90.00 120.00°
Space group P3m1 (No. 156)
Unique sites:
Ni1 0.0000 0.0000 0.0000 (multiplicity 1)
Mo1 0.6667 0.3333 0.6846 (multiplicity 1)
Cl1 0.3333 0.6667 0.3634 (multiplicity 1)

The following is a DFT calculation (PBE-GGA) of a relaxed structure of CaMnCr.

Values from the calculation:
formation energy = 0.9084 eV per atom
E_tot = -6.023 eV per atom
ΔE to the lowest computed polymorph = 487.9 meV/atom

Cell: 4.9744 4.9744 3.1903 Å, 90.00 90.00 120.00°
Space group P3m1 (No. 156)
Unique sites:
Ca1 0.0000 0.0000 0.0000 (multiplicity 1)
Mn1 0.3333 0.6667 0.4966 (multiplicity 1)
Cr1 0.6667 0.3333 0.5024 (multiplicity 1)

The following is a DFT calculation (PBE-GGA) of a relaxed structure of ErTh2Pa2Co5.

Values from the calculation:
formation energy = -0.0830 eV per atom
E_tot = -7.475 eV per atom

Cell: 10.6703 10.6703 3.4115 Å, 90.00 90.00 90.00°
Space group P4/mbm (No. 127)
Unique sites:
Er1 0.0000 0.0000 0.0000 (multiplicity 2)
Th1 0.1683 0.3317 0.0000 (multiplicity 4)
Pa1 0.1388 0.6388 0.0000 (multiplicity 4)
Co1 0.0000 0.5000 0.5000 (multiplicity 2)
Co2 0.0653 0.8027 0.5000 (multiplicity 8)

The following is a DFT calculation (PBE-GGA) of a relaxed structure of Pr2Be3Cu12Ag.

Values from the calculation:
formation energy = 0.3432 eV per atom
E_tot = -3.698 eV per atom

Cell: 7.4594 7.4594 18.8241 Å, 90.00 90.00 120.00°
Space group R-3m (No. 166, hexagonal axes)
Unique sites:
Pr1 0.0000 0.0000 0.1059 (multiplicity 6)
Be1 0.0000 0.5000 0.0000 (multiplicity 9)
Cu1 0.0303 0.5151 0.8860 (multiplicity 18)
Cu2 0.0384 0.5192 0.3563 (multiplicity 18)
Ag1 0.0000 0.0000 0.5000 (multiplicity 3)

The following is a DFT calculation (PBE-GGA) of a relaxed structure of La6Ni.

Values from the calculation:
formation energy = -0.0696 eV per atom
E_tot = -5.119 eV per atom

Cell: 12.3792 11.5720 6.5767 Å, 90.00 90.00 90.00°
Space group Pnma (No. 62)
Unique sites:
La1 0.0029 0.2500 0.2063 (multiplicity 4)
La2 0.0126 0.0628 0.7504 (multiplicity 8)
La3 0.2368 0.2500 0.5957 (multiplicity 4)
La4 0.2461 0.0853 0.0818 (multiplicity 8)
Ni1 0.1023 0.7500 0.4073 (multiplicity 4)

The following is a DFT calculation (PBE-GGA) of a relaxed structure of Sr2UH12Pd3.

Values from the calculation:
E_tot = -4.146 eV per atom

Cell: 6.7389 6.7389 15.1068 Å, 90.00 90.00 120.00°
Space group R-3m (No. 166, hexagonal axes)
Unique sites:
Sr1 0.0000 0.0000 0.1156 (multiplicity 6)
U1 0.0000 0.0000 0.5000 (multiplicity 3)
H1 0.0265 0.5133 0.8808 (multiplicity 18)
H2 0.0833 0.5416 0.3036 (multiplicity 18)
Pd1 0.0000 0.5000 0.0000 (multiplicity 9)

The following is a DFT calculation (PBE-GGA) of a relaxed structure of Ac6GePt2Cl3.

Values from the calculation:
E_tot = -5.254 eV per atom

Cell: 20.7962 4.4113 9.0266 Å, 90.00 103.28 90.00°
Space group C2/m (No. 12)
Unique sites:
Ac1 0.0195 0.0000 0.2491 (multiplicity 4)
Ac2 0.1590 0.5000 0.0891 (multiplicity 4)
Ac3 0.1787 0.5000 0.5620 (multiplicity 4)
Ge1 0.0000 0.5000 0.0000 (multiplicity 2)
Pt1 0.1722 0.0000 0.3265 (multiplicity 4)
Cl1 0.0000 0.5000 0.5000 (multiplicity 2)
Cl2 0.1317 0.0000 0.7910 (multiplicity 4)

The following is a DFT calculation (PBE-GGA) of a relaxed structure of BAu2C.

Values from the calculation:
formation energy = 1.3335 eV per atom
E_tot = -4.281 eV per atom
ΔE to the lowest computed polymorph = 1042.6 meV/atom

Cell: 4.8145 4.8145 10.4982 Å, 90.00 90.00 90.00°
Space group I-42d (No. 122)
Unique sites:
B1 0.0000 0.0000 0.0000 (multiplicity 4)
Au1 0.2413 0.2500 0.6250 (multiplicity 8)
C1 0.0000 0.0000 0.5000 (multiplicity 4)

The following is a DFT calculation (PBE-GGA) of a relaxed structure of ZrMn2GeI.

Values from the calculation:
E_tot = -6.053 eV per atom

Cell: 4.9516 4.9516 5.4908 Å, 90.00 90.00 90.00°
Space group P4/mmm (No. 123)
Unique sites:
Zr1 0.0000 0.0000 0.0000 (multiplicity 1)
Mn1 0.0000 0.5000 0.5000 (multiplicity 2)
Ge1 0.0000 0.0000 0.5000 (multiplicity 1)
I1 0.5000 0.5000 0.0000 (multiplicity 1)

The following is a DFT calculation (PBE-GGA) of a relaxed structure of ErTlAgSn.

Values from the calculation:
formation energy = -0.1692 eV per atom
E_tot = -3.615 eV per atom

Cell: 7.3074 7.3074 7.3074 Å, 90.00 90.00 90.00°
Space group F-43m (No. 216)
Unique sites:
Er1 0.0000 0.0000 0.0000 (multiplicity 4)
Tl1 0.2500 0.2500 0.7500 (multiplicity 4)
Ag1 0.0000 0.0000 0.5000 (multiplicity 4)
Sn1 0.2500 0.2500 0.2500 (multiplicity 4)

The following is a DFT calculation (PBE-GGA) of a relaxed structure of NbZn2TcAu.

Values from the calculation:
formation energy = 0.8293 eV per atom
E_tot = -4.423 eV per atom

Cell: 4.7973 4.7973 4.6356 Å, 90.00 90.00 90.00°
Space group P4/mmm (No. 123)
Unique sites:
Nb1 0.0000 0.0000 0.0000 (multiplicity 1)
Zn1 0.0000 0.5000 0.5000 (multiplicity 2)
Tc1 0.0000 0.0000 0.5000 (multiplicity 1)
Au1 0.5000 0.5000 0.0000 (multiplicity 1)

The following is a DFT calculation (PBE-GGA) of a relaxed structure of TaAl2Zn.

Values from the calculation:
formation energy = 0.0428 eV per atom
E_tot = -5.110 eV per atom

Cell: 2.9808 4.5725 4.7689 Å, 90.00 90.00 90.00°
Space group Pmmm (No. 47)
Unique sites:
Ta1 0.0000 0.0000 0.0000 (multiplicity 1)
Al1 0.0000 0.5000 0.5000 (multiplicity 1)
Al2 0.5000 0.5000 0.0000 (multiplicity 1)
Zn1 0.5000 0.0000 0.5000 (multiplicity 1)

The following is a DFT calculation (PBE-GGA) of a relaxed structure of Sc2Be2SiNi5.

Values from the calculation:
E_tot = -5.960 eV per atom

Cell: 8.6416 8.6416 3.2336 Å, 90.00 90.00 90.00°
Space group P4/mbm (No. 127)
Unique sites:
Sc1 0.1793 0.3207 0.0000 (multiplicity 4)
Be1 0.1162 0.6162 0.0000 (multiplicity 4)
Si1 0.0000 0.0000 0.0000 (multiplicity 2)
Ni1 0.0000 0.5000 0.5000 (multiplicity 2)
Ni2 0.0645 0.7895 0.5000 (multiplicity 8)

The following is a DFT calculation (PBE-GGA) of a relaxed structure of TaTeW2.

Values from the calculation:
E_tot = -9.751 eV per atom

Cell: 3.3325 3.3325 6.5051 Å, 90.00 90.00 90.00°
Space group P4/mmm (No. 123)
Unique sites:
Ta1 0.0000 0.0000 0.0000 (multiplicity 1)
Te1 0.0000 0.0000 0.5000 (multiplicity 1)
W1 0.5000 0.5000 0.2352 (multiplicity 2)

The following is a DFT calculation (PBE-GGA) of a relaxed structure of Nd3AgPt8.

Values from the calculation:
formation energy = -0.9137 eV per atom
E_tot = -6.370 eV per atom

Cell: 5.4698 5.4698 26.8169 Å, 90.00 90.00 120.00°
Space group R3m (No. 160, hexagonal axes)
Unique sites:
Nd1 0.0000 0.0000 0.0000 (multiplicity 3)
Nd2 0.0000 0.0000 0.1296 (multiplicity 3)
Nd3 0.0000 0.0000 0.6128 (multiplicity 3)
Ag1 0.0000 0.0000 0.4930 (multiplicity 3)
Pt1 0.0000 0.0000 0.3104 (multiplicity 3)
Pt2 0.0000 0.0000 0.8107 (multiplicity 3)
Pt3 0.0003 0.5001 0.0601 (multiplicity 9)
Pt4 0.0028 0.5014 0.5608 (multiplicity 9)

The following is a DFT calculation (PBE-GGA) of a relaxed structure of SrMg2As.

Values from the calculation:
formation energy = -0.2998 eV per atom
E_tot = -2.680 eV per atom

Cell: 4.2875 4.2875 22.9735 Å, 90.00 90.00 120.00°
Space group R-3m (No. 166, hexagonal axes)
Unique sites:
Sr1 0.0000 0.0000 0.0000 (multiplicity 3)
Mg1 0.0000 0.0000 0.2171 (multiplicity 6)
As1 0.0000 0.0000 0.5000 (multiplicity 3)

The following is a DFT calculation (PBE-GGA) of a relaxed structure of Y5GaCo2.

Values from the calculation:
formation energy = -0.2826 eV per atom
E_tot = -6.477 eV per atom

Cell: 7.2833 7.2833 14.4541 Å, 90.00 90.00 90.00°
Space group I4/mcm (No. 140)
Unique sites:
Y1 0.0000 0.0000 0.0000 (multiplicity 4)
Y2 0.1764 0.3236 0.1376 (multiplicity 16)
Ga1 0.0000 0.0000 0.2500 (multiplicity 4)
Co1 0.1109 0.3891 0.5000 (multiplicity 8)